Record 1
{"formula": "ReP2IO", "functional": "GGA-PBE", "state": "relaxed", "sg": "P4/mmm, No. 123", "e_form_raw_kj_per_mol_atoms": 1.35, "lattice_angstrom": [[4.8689, 0.0000, 0.0000], [0.0000, 4.8689, 0.0000], [0.0000, 0.0000, 3.8063]], "species": ["Re", "P", "P", "I", "O"], "frac_coords": [[0.0000, 0.0000, 0.0000], [0.0000, 0.5000, 0.0000], [0.5000, 0.0000, 0.0000], [0.5000, 0.5000, 0.5000], [0.0000, 0.0000, 0.5000]]}



Record 2
{"formula": "Ba2AgBi3", "functional": "GGA-PBE", "state": "relaxed", "formation_energy_ev_per_atom": -0.58, "sg": "Pmm2, No. 25", "lattice_angstrom": [[4.8860, 0.0000, 0.0000], [0.0000, 5.1438, 0.0000], [0.0000, 0.0000, 9.1193]], "species": ["Ba", "Ba", "Ag", "Bi", "Bi", "Bi"], "frac_coords": [[0.0000, 0.0000, 0.0000], [0.0000, 0.5000, 0.4910], [0.5000, 0.5000, 0.8182], [0.5000, 0.0000, 0.3345], [0.5000, 0.0000, 0.6841], [0.5000, 0.5000, 0.1328]]}



Record 3
{"formula": "Cu5As2H4O12", "functional": "GGA-PBE", "state": "relaxed", "dft_energy_ev_per_cell": -244.1, "sg": "P2_1/c, No. 14", "lattice_angstrom": [[4.8645, 0.0000, 0.0000], [0.0000, 5.6912, 0.0000], [-0.8855, 0.0000, 17.8810]], "species": ["Cu", "Cu", "Cu", "Cu", "Cu", "Cu", "Cu", "Cu", "Cu", "Cu", "As", "As", "As", "As", "H", "H", "H", "H", "H", "H", "H", "H", "O", "O", "O", "O", "O", "O", "O", "O", "O", "O", "O", "O", "O", "O", "O", "O", "O", "O", "O", "O", "O", "O", "O", "O"], "frac_coords": [[0.0000, 0.0000, 0.0000], [0.0000, 0.5000, 0.5000], [0.0009, 0.2019, 0.2514], [0.0009, 0.2981, 0.7514], [0.0852, 0.5292, 0.0831], [0.0852, 0.9708, 0.5831], [0.9148, 0.0292, 0.4169], [0.9148, 0.4708, 0.9169], [0.9991, 0.7019, 0.2486], [0.9991, 0.7981, 0.7486], [0.4539, 0.0464, 0.8712], [0.4539, 0.4536, 0.3712], [0.5461, 0.5464, 0.6288], [0.5461, 0.9536, 0.1288], [0.3066, 0.5937, 0.8388], [0.3066, 0.9063, 0.3388], [0.3320, 0.6970, 0.9614], [0.3320, 0.8030, 0.4614], [0.6680, 0.1970, 0.5386], [0.6680, 0.3030, 0.0386], [0.6934, 0.0937, 0.6612], [0.6934, 0.4063, 0.1612], [0.1109, 0.5546, 0.8222], [0.1109, 0.9454, 0.3222], [0.1458, 0.6832, 0.9828], [0.1458, 0.8168, 0.4828], [0.2517, 0.0470, 0.7865], [0.2517, 0.4530, 0.2865], [0.2721, 0.1609, 0.9432], [0.2721, 0.3391, 0.4432], [0.2822, 0.7367, 0.6458], [0.2822, 0.7633, 0.1458], [0.4465, 0.2391, 0.1128], [0.4465, 0.2609, 0.6128], [0.5535, 0.7391, 0.3872], [0.5535, 0.7609, 0.8872], [0.7178, 0.2367, 0.8542], [0.7178, 0.2633, 0.3542], [0.7279, 0.6609, 0.5568], [0.7279, 0.8391, 0.0568], [0.7483, 0.5470, 0.7135], [0.7483, 0.9530, 0.2135], [0.8542, 0.1832, 0.5172], [0.8542, 0.3168, 0.0172], [0.8891, 0.0546, 0.6778], [0.8891, 0.4454, 0.1778]]}



Record 4
{"formula": "Pm3Si2SbPt9", "functional": "GGA-PBE", "state": "relaxed", "sg": "P-3m1, No. 164", "e_form_raw_kj_per_mol_atoms": -69.11, "lattice_angstrom": [[6.4522, 0.0000, 0.0000], [-3.2261, 5.5878, 0.0000], [0.0000, 0.0000, 9.1645]], "species": ["Pm", "Pm", "Pm", "Si", "Si", "Sb", "Pt", "Pt", "Pt", "Pt", "Pt", "Pt", "Pt", "Pt", "Pt"], "frac_coords": [[0.0000, 0.0000, 0.0000], [0.3333, 0.6667, 0.7288], [0.6667, 0.3333, 0.2712], [0.3333, 0.6667, 0.1749], [0.6667, 0.3333, 0.8251], [0.0000, 0.0000, 0.5000], [0.0000, 0.5000, 0.0000], [0.1454, 0.2907, 0.2706], [0.1454, 0.8546, 0.2706], [0.2907, 0.1454, 0.7294], [0.5000, 0.0000, 0.0000], [0.5000, 0.5000, 0.0000], [0.7093, 0.8546, 0.2706], [0.8546, 0.1454, 0.7294], [0.8546, 0.7093, 0.7294]]}



Record 5
{"formula": "Pu11Co4Ge9", "functional": "GGA-PBE", "state": "relaxed", "formation_energy_ev_per_atom": -0.38, "sg": "Cmmm, No. 65", "lattice_angstrom": [[6.3380, -9.6856, 0.0000], [6.3380, 9.6856, 0.0000], [0.0000, 0.0000, 3.8841]], "species": ["Pu", "Pu", "Pu", "Pu", "Pu", "Pu", "Pu", "Pu", "Pu", "Pu", "Pu", "Co", "Co", "Co", "Co", "Ge", "Ge", "Ge", "Ge", "Ge", "Ge", "Ge", "Ge", "Ge"], "frac_coords": [[0.0000, 0.0000, 0.0000], [0.0628, 0.4113, 0.0000], [0.1586, 0.8414, 0.0000], [0.3141, 0.3141, 0.0000], [0.3724, 0.6276, 0.0000], [0.4113, 0.0628, 0.0000], [0.5887, 0.9372, 0.0000], [0.6276, 0.3724, 0.0000], [0.6859, 0.6859, 0.0000], [0.8414, 0.1586, 0.0000], [0.9372, 0.5887, 0.0000], [0.2448, 0.4538, 0.5000], [0.4538, 0.2448, 0.5000], [0.5462, 0.7552, 0.5000], [0.7552, 0.5462, 0.5000], [0.0836, 0.2237, 0.5000], [0.1622, 0.6294, 0.5000], [0.2237, 0.0836, 0.5000], [0.3706, 0.8378, 0.5000], [0.5000, 0.5000, 0.5000], [0.6294, 0.1622, 0.5000], [0.7763, 0.9164, 0.5000], [0.8378, 0.3706, 0.5000], [0.9164, 0.7763, 0.5000]]}



Record 6
{"formula": "TmPu2Ti", "functional": "GGA-PBE", "state": "relaxed", "formation_energy_ev_per_atom": 0.19, "sg": "P4/mmm, No. 123", "lattice_angstrom": [[3.2106, 0.0000, 0.0000], [0.0000, 3.2106, 0.0000], [0.0000, 0.0000, 9.3245]], "species": ["Tm", "Pu", "Pu", "Ti"], "frac_coords": [[0.0000, 0.0000, 0.0000], [0.5000, 0.5000, 0.2769], [0.5000, 0.5000, 0.7231], [0.0000, 0.0000, 0.5000]]}



Record 7
{"formula": "K2BeP", "functional": "GGA-PBE", "state": "relaxed", "formation_energy_ev_per_atom": 0.27, "sg": "P4mm, No. 99", "lattice_angstrom": [[3.4179, 0.0000, 0.0000], [0.0000, 3.4179, 0.0000], [0.0000, 0.0000, 9.8368]], "species": ["K", "K", "Be", "P"], "frac_coords": [[0.0000, 0.0000, 0.0000], [0.5000, 0.5000, 0.4153], [0.5000, 0.5000, 0.7095], [0.0000, 0.0000, 0.6844]]}



Record 8
{"formula": "Cs2As2Rh", "functional": "GGA-PBE", "state": "relaxed", "formation_energy_ev_per_atom": 0.76, "sg": "I4/mmm, No. 139", "lattice_angstrom": [[-2.3527, 2.3527, 7.3774], [2.3527, -2.3527, 7.3774], [2.3527, 2.3527, -7.3774]], "species": ["Cs", "Cs", "As", "As", "Rh"], "frac_coords": [[0.2500, 0.7500, 0.5000], [0.7500, 0.2500, 0.5000], [0.0761, 0.0761, 0.0000], [0.9239, 0.9239, 0.0000], [0.5000, 0.5000, 0.0000]]}



Record 9
{"formula": "Sr2HgMo", "functional": "GGA-PBE", "state": "relaxed", "formation_energy_ev_per_atom": 0.52, "sg": "C2/m, No. 12", "lattice_angstrom": [[3.9612, -3.9809, 0.0000], [3.9612, 3.9809, 0.0000], [-0.0087, 0.0000, 3.8694]], "species": ["Sr", "Sr", "Hg", "Mo"], "frac_coords": [[0.0000, 0.5000, 0.0000], [0.5000, 0.0000, 0.0000], [0.0000, 0.0000, 0.5000], [0.5000, 0.5000, 0.5000]]}



Record 10
{"formula": "Ce5P4C", "functional": "GGA-PBE", "state": "relaxed", "formation_energy_ev_per_atom": -1.16, "sg": "I4, No. 79", "lattice_angstrom": [[-4.4729, 4.4729, 2.8656], [4.4729, -4.4729, 2.8656], [4.4729, 4.4729, -2.8656]], "species": ["Ce", "Ce", "Ce", "Ce", "Ce", "P", "P", "P", "P", "C"], "frac_coords": [[0.0000, 0.0000, 0.0000], [0.2430, 0.6189, 0.8124], [0.4306, 0.2430, 0.6241], [0.6189, 0.8065, 0.3759], [0.8065, 0.4306, 0.1876], [0.1181, 0.3267, 0.3955], [0.3267, 0.9312, 0.2086], [0.7226, 0.1181, 0.7914], [0.9312, 0.7226, 0.6045], [0.5644, 0.5644, 0.0000]]}



Record 11
{"formula": "YPb2Se", "functional": "GGA-PBE", "state": "relaxed", "sg": "Cmmm, No. 65", "e_form_raw_kj_per_mol_atoms": -37.52, "lattice_angstrom": [[3.7009, -3.7276, 0.0000], [3.7009, 3.7276, 0.0000], [0.0000, 0.0000, 3.9773]], "species": ["Y", "Pb", "Pb", "Se"], "frac_coords": [[0.0000, 0.0000, 0.0000], [0.0000, 0.5000, 0.5000], [0.5000, 0.0000, 0.5000], [0.5000, 0.5000, 0.0000]]}



Record 12
{"formula": "ZnIn2PdPt5", "functional": "GGA-PBE", "state": "relaxed", "formation_energy_ev_per_atom": 0.12, "sg": "I4/mcm, No. 140", "lattice_angstrom": [[-3.9639, 3.9639, 5.3229], [3.9639, -3.9639, 5.3229], [3.9639, 3.9639, -5.3229]], "species": ["Zn", "Zn", "In", "In", "In", "In", "Pd", "Pd", "Pt", "Pt", "Pt", "Pt", "Pt", "Pt", "Pt", "Pt", "Pt", "Pt"], "frac_coords": [[0.2500, 0.2500, 0.0000], [0.7500, 0.7500, 0.0000], [0.1161, 0.6161, 0.7322], [0.3839, 0.1161, 0.5000], [0.6161, 0.8839, 0.5000], [0.8839, 0.3839, 0.2678], [0.2500, 0.7500, 0.5000], [0.7500, 0.2500, 0.5000], [0.0000, 0.0000, 0.0000], [0.0632, 0.1668, 0.5000], [0.1668, 0.6668, 0.1036], [0.3332, 0.4368, 0.5000], [0.4368, 0.9368, 0.1036], [0.5000, 0.5000, 0.0000], [0.5632, 0.0632, 0.8964], [0.6668, 0.5632, 0.5000], [0.8332, 0.3332, 0.8964], [0.9368, 0.8332, 0.5000]]}



Record 13
{"formula": "Ce4Pr3YS8", "functional": "GGA-PBE", "state": "relaxed", "sg": "R-3m, No. 166", "e_form_raw_kj_per_mol_atoms": -195.83, "lattice_angstrom": [[4.0460, 2.3359, 6.6018], [-4.0460, 2.3359, 6.6018], [0.0000, -4.6719, 6.6018]], "species": ["Ce", "Ce", "Ce", "Ce", "Pr", "Pr", "Pr", "Y", "S", "S", "S", "S", "S", "S", "S", "S"], "frac_coords": [[0.0000, 0.0000, 0.0000], [0.0000, 0.5000, 0.5000], [0.5000, 0.0000, 0.5000], [0.5000, 0.5000, 0.0000], [0.0000, 0.0000, 0.5000], [0.0000, 0.5000, 0.0000], [0.5000, 0.0000, 0.0000], [0.5000, 0.5000, 0.5000], [0.2521, 0.2521, 0.2521], [0.2539, 0.2539, 0.7419], [0.2539, 0.7419, 0.2539], [0.2581, 0.7461, 0.7461], [0.7419, 0.2539, 0.2539], [0.7461, 0.2581, 0.7461], [0.7461, 0.7461, 0.2581], [0.7479, 0.7479, 0.7479]]}



Record 14
{"formula": "InTcHg", "functional": "GGA-PBE", "state": "relaxed", "formation_energy_ev_per_atom": 0.58, "sg": "Fmm2, No. 42", "lattice_angstrom": [[0.0000, 2.5500, 7.1504], [1.6519, 0.0000, 7.1504], [1.6519, 2.5500, 0.0000]], "species": ["In", "Tc", "Hg"], "frac_coords": [[0.0000, 0.0000, 0.0000], [0.3456, 0.3456, 0.6544], [0.6847, 0.6847, 0.3153]]}



Record 15
{"formula": "NaInBiIr", "functional": "GGA-PBE", "state": "relaxed", "formation_energy_ev_per_atom": 0.05, "sg": "F-43m, No. 216", "lattice_angstrom": [[0.0000, 3.4514, 3.4514], [3.4514, 0.0000, 3.4514], [3.4514, 3.4514, 0.0000]], "species": ["Na", "In", "Bi", "Ir"], "frac_coords": [[0.0000, 0.0000, 0.0000], [0.7500, 0.7500, 0.7500], [0.2500, 0.2500, 0.2500], [0.5000, 0.5000, 0.5000]]}



Record 16
{"formula": "CsPrBr4", "functional": "GGA-PBE", "state": "relaxed", "sg": "C2/c, No. 15", "e_form_raw_kj_per_mol_atoms": -178.04, "lattice_angstrom": [[9.0253, -3.6372, 0.0000], [9.0253, 3.6372, 0.0000], [-2.3763, 0.0000, 7.7874]], "species": ["Cs", "Cs", "Pr", "Pr", "Br", "Br", "Br", "Br", "Br", "Br", "Br", "Br"], "frac_coords": [[0.2005, 0.7995, 0.7500], [0.7995, 0.2005, 0.2500], [0.0000, 0.5000, 0.0000], [0.5000, 0.0000, 0.5000], [0.1171, 0.2736, 0.6525], [0.2736, 0.1171, 0.1525], [0.2811, 0.5289, 0.0559], [0.4711, 0.7189, 0.4441], [0.5289, 0.2811, 0.5559], [0.7189, 0.4711, 0.9441], [0.7264, 0.8829, 0.8475], [0.8829, 0.7264, 0.3475]]}



Record 17
{"formula": "TlReSi", "functional": "GGA-PBE", "state": "relaxed", "sg": "I4mm, No. 107", "e_form_raw_kj_per_mol_atoms": 40.07, "lattice_angstrom": [[-1.6363, 1.6363, 4.9370], [1.6363, -1.6363, 4.9370], [1.6363, 1.6363, -4.9370]], "species": ["Tl", "Re", "Si"], "frac_coords": [[0.0000, 0.0000, 0.0000], [0.7046, 0.7046, 0.0000], [0.2960, 0.2960, 0.0000]]}



Density of states at the Fermi level / states/eV per cell: 3.07; 2.18; 14.33; 3.86; 82.29; 12.35; 2.68; 3.91; 3.13; 16.21; 1.62; 12.98; 23.12; 2.02; 2.44; 0.00; 0.28